# 1
Here is a geometry-optimized Tm3TlNi structure from Alexandria. Energies are from PBE-GGA.

Properties
The calculation puts the spin magnetization at 0.00 μB per formula unit. The energy relative to the lowest polymorph listed for this composition comes out at 0 meV per atom. The calculation puts the energy relative to the elements at -0.323 eV/atom. For the total energy, the calculation gives -46.351 eV for the cell shown.

abc: 8.2691 3.8544 8.5247
angles: 90.00 111.86 90.00
Closest atoms and distances in Å follow each position.
Space group P2_1/m (No. 11)
One atom of each set of equivalent atoms:
Tm 0.0427 0.2500 0.2339 [2 per cell]  3 Ni 2.82-2.94
Tm 0.3150 0.7500 0.5761 [2 per cell]  3 Ni 2.83-2.95
Tm 0.3249 0.2500 0.9074 [2 per cell]  1 Ni 2.76
Tl 0.3471 0.7500 0.2145 [2 per cell]  8 Tm 3.19-3.32
Ni 0.0684 0.2500 0.5872 [2 per cell]  2 Ni 2.44

---

# 2
Here is a geometry-optimized TmTlNi2 structure from Alexandria. Energies are from PBE-GGA.

Properties
The calculation puts the spin magnetization at 0.00 μB per formula unit. The calculation puts the energy relative to the elements at -0.220 eV/atom. For the total energy, the calculation gives -77.124 eV for the cell shown.

abc: 6.4958 6.4958 6.4958
angles: 90.00 90.00 90.00
Closest atoms and distances in Å follow each position.
Space group Fm-3m (No. 225)
One atom of each set of equivalent atoms:
Tm 0.0000 0.0000 0.0000 [4 per cell]  8 Ni 2.81
Tl 0.0000 0.0000 0.5000 [4 per cell]  8 Ni 2.81
Ni 0.2500 0.2500 0.2500 [8 per cell]  4 Tl 2.81, 4 Tm 2.81